(1)
A plane-wave DFT calculation with PBE was carried out for a relaxed AlIn2S crystal.

The structure in POSCAR format:
```
AlIn2S
1.0
1.752 1.012 9.619
-1.752 1.012 9.619
0.000 -2.023 9.619
Al In S
1 2 1
direct
0.000 0.000 0.000
0.102 0.102 0.102
0.898 0.898 0.898
0.500 0.500 0.500
```

* space-group type: R-3m (166)
* DOS(E_F): 0.213 states/eV per atom
* raw total energy: -13.077 eV per cell
* energy above the most stable polymorph in this dataset: 0.0621 eV/atom
* spin magnetization: 0.0 μB per formula unit
* uncorrected formation energy: 0.27 eV per formula unit

---

(2)
A plane-wave DFT calculation with PBE was carried out for a relaxed PbAuI3 crystal.

The structure in POSCAR format:
```
PbAuI3
1.0
8.347 0.000 0.000
0.000 7.501 0.000
-8.336 0.000 14.133
Pb Au I
4 4 12
direct
0.154 0.006 0.155
0.154 0.494 0.655
0.846 0.506 0.345
0.846 0.994 0.845
0.337 0.510 0.337
0.337 0.990 0.837
0.663 0.010 0.163
0.663 0.490 0.663
0.151 0.717 0.840
0.151 0.783 0.340
0.157 0.236 0.998
0.157 0.264 0.498
0.475 0.735 0.163
0.475 0.765 0.663
0.525 0.235 0.337
0.525 0.265 0.837
0.843 0.736 0.502
0.843 0.764 0.002
0.849 0.217 0.660
0.849 0.283 0.160
```

* space-group type: P2_1/c (14)
* DOS(E_F): 0.000 states/eV per atom
* raw total energy: -54.277 eV per cell
* energy above the most stable polymorph in this dataset: 0.0000 eV/atom
* spin magnetization: 0.0 μB per formula unit
* uncorrected formation energy: -1.93 eV per formula unit

---

(3)
A plane-wave DFT calculation with PBE was carried out for a relaxed Pa2AlAgO8 crystal.

The structure in POSCAR format:
```
Pa2AlAgO8
1.0
4.925 0.000 0.000
-2.463 4.266 0.000
0.000 0.000 7.600
Pa Al Ag O
2 1 1 8
direct
0.333 0.667 0.328
0.667 0.333 0.672
0.000 0.000 0.500
0.000 0.000 0.000
0.170 0.341 0.648
0.170 0.830 0.648
0.333 0.667 0.080
0.341 0.170 0.352
0.659 0.830 0.648
0.667 0.333 0.920
0.830 0.170 0.352
0.830 0.659 0.352
```

* space-group type: P-3m1 (164)
* DOS(E_F): 0.316 states/eV per atom
* raw total energy: -91.652 eV per cell
* spin magnetization: 1.9 μB per formula unit
* uncorrected formation energy: -26.40 eV per formula unit